Compound: RbInPbAu2
Source: the Alexandria database
Functional: PBE
Structure: optimized geometry

Magnetization   0.0000 μB/atom
Uncorrected energy   -2.9987 eV per atom
Symmetry   I-4m2
N(E_F)   0.464 states/eV/atom
Calculated volume   29.3 Å³ per atom
E_form   -205 meV/atom

a = 4.9412 Å, b = 4.9412 Å, c = 6.9502 Å
α = 110.82°, β = 110.82°, γ = 90.00°
Closest atoms and distances in Å follow each position.
Fractional positions:
In  0.7500  0.2500  0.5000  4 Au 2.94
Pb  0.2500  0.7500  0.5000  4 Au 2.94
Au  0.3823  0.3823  0.7646  1 Au 2.83, 2 In 2.94, 2 Pb 2.94
Au  0.6177  0.6177  0.2354  1 Au 2.83, 2 Pb 2.94, 2 In 2.94
Rb  0.0000  0.0000  0.0000  8 Au 3.77, 4 In 3.89, 4 Pb 3.89